No. 1
A relaxed LiTl4Ni crystal, computed with PBE.

Output
Crystal system: cubic
D(E_F): 7.47 states/eV per cell
DFT total energy: -2.338 eV/atom
SG: F-43m

abc: 6.240 6.240 6.240
angles: 60.00 60.00 60.00
Element x y z (fractional)
Tl 0.375 0.375 0.375
Tl 0.876 0.375 0.375
Tl 0.375 0.375 0.876
Tl 0.375 0.876 0.375
Ni 0.000 0.000 0.000
Li 0.750 0.750 0.750

No. 2
A relaxed Sr2AcIn2Bi4 crystal, computed with PBE.

Output
Crystal system: monoclinic
D(E_F): 3.89 states/eV per cell
DFT total energy: -3.720 eV/atom
SG: C2/m

abc: 4.853 8.265 8.857
angles: 106.24 105.90 90.00
Element x y z (fractional)
Ac 0.000 0.000 0.000
Sr 0.131 0.578 0.262
Sr 0.869 0.422 0.738
Bi 0.786 0.766 0.571
Bi 0.495 0.297 0.991
Bi 0.214 0.234 0.429
Bi 0.505 0.703 0.009
In 0.667 0.998 0.334
In 0.333 0.002 0.666

No. 3
A relaxed LaTe2Pd crystal, computed with PBE.

Output
Crystal system: trigonal
D(E_F): 6.00 states/eV per cell
DFT total energy: -4.715 eV/atom
SG: R-3m
Excess energy over the best structure of this formula in the dataset: 175.8 meV/atom
Formation energy without anion corrections: -0.614 eV per atom

abc: 8.970 8.970 8.970
angles: 30.67 30.67 30.67
Element x y z (fractional)
La 0.500 0.500 0.500
Te 0.900 0.900 0.900
Te 0.100 0.100 0.100
Pd 0.000 0.000 0.000